Here is an optimized crystal structure of Ac8CdRh2 from the Alexandria database. Energies are from PBE.

Summary:
Symmetry   Cm, No. 8
Density   8.67 g/cm³
E_form   -233 meV per atom
Spin magnetization   0.0 Bohr magnetons per cell

```
data_Ac8CdRh2
_chemical_formula_sum 'Ac8 Cd1 Rh2'
_cell_length_a 8.7195
_cell_length_b 8.7195
_cell_length_c 6.1814
_cell_angle_alpha 97.80
_cell_angle_beta 97.80
_cell_angle_gamma 115.86
_space_group_name_H-M_alt 'P 1'
_space_group_IT_number 1
_space_group_name_Hall 'P 1'
loop_
_atom_site_label
_atom_site_type_symbol
_atom_site_fract_x
_atom_site_fract_y
_atom_site_fract_z
Ac1 Ac 0.0000 0.0000 0.0000
Ac2 Ac 0.0485 0.3050 0.6204
Ac3 Ac 0.1475 0.6304 0.1939
Ac4 Ac 0.3050 0.0485 0.6204
Ac5 Ac 0.4726 0.7292 0.7676
Ac6 Ac 0.6304 0.1475 0.1939
Ac7 Ac 0.7292 0.4726 0.7676
Ac8 Ac 0.7779 0.7779 0.3881
Cd1 Cd 0.3891 0.3891 0.1917
Rh1 Rh 0.1047 0.6725 0.6937
Rh2 Rh 0.6725 0.1047 0.6937
```